# BaCePt2 GGA-PBE optimized geometry
data_BaCePt2
_cell_length_a 3.6804
_cell_length_b 3.6804
_cell_length_c 7.6518
_cell_angle_alpha 90.00
_cell_angle_beta 90.00
_cell_angle_gamma 90.00
_symmetry_space_group_name_H-M 'P 4/m m m'
_symmetry_Int_Tables_number 123
_symmetry_space_group_name_Hall '-P 4 2'
loop_
_atom_site_label
_atom_site_type_symbol
_atom_site_fract_x
_atom_site_fract_y
_atom_site_fract_z
Ba1 Ba 0.0000 0.0000 0.0000
Ce1 Ce 0.0000 0.0000 0.5000
Pt1 Pt 0.5000 0.5000 0.3038
# V = 103.6 Å³/cell
# E above lowest polymorph = 0 meV/atom
# Total moment = 0.58 μB/cell

---

# Ce2NdSmP4 GGA-PBE optimized geometry
data_Ce2NdSmP4
_cell_length_a 7.1189
_cell_length_b 4.1113
_cell_length_c 7.1212
_cell_angle_alpha 90.00
_cell_angle_beta 109.47
_cell_angle_gamma 90.00
_symmetry_space_group_name_H-M 'P 1 2/m 1'
_symmetry_Int_Tables_number 10
loop_
_symmetry_equiv_pos_as_xyz
'x,y,z'
'-x,-y,-z'
'-x,y,-z'
'x,-y,z'
loop_
_atom_site_label
_atom_site_type_symbol
_atom_site_fract_x
_atom_site_fract_y
_atom_site_fract_z
Ce1 Ce 0.0000 0.0000 0.0000
Ce2 Ce 0.0000 0.5000 0.5000
Nd1 Nd 0.5000 0.0000 0.5000
Sm1 Sm 0.5000 0.5000 0.0000
P1 P 0.2434 0.5000 0.2460
P2 P 0.2447 0.0000 0.7501
# V = 196.5 Å³/cell
# Raw total energy = -6.910 eV/atom
# Total moment = 0.98 μB/cell

---

# Ca4Si5Au2 GGA-PBE optimized geometry
data_Ca4Si5Au2
_cell_length_a 7.1018
_cell_length_b 4.4746
_cell_length_c 7.8230
_cell_angle_alpha 90.00
_cell_angle_beta 91.70
_cell_angle_gamma 90.00
_symmetry_space_group_name_H-M 'P 1 2/m 1'
_symmetry_Int_Tables_number 10
loop_
_symmetry_equiv_pos_as_xyz
'x,y,z'
'-x,-y,-z'
'-x,y,-z'
'x,-y,z'
loop_
_atom_site_label
_atom_site_type_symbol
_atom_site_fract_x
_atom_site_fract_y
_atom_site_fract_z
Ca1 Ca 0.2377 0.0000 0.3699
Ca2 Ca 0.2551 0.0000 0.8727
Si1 Si 0.0000 0.5000 0.0000
Si2 Si 0.0646 0.5000 0.6432
Si3 Si 0.3756 0.5000 0.1024
Au1 Au 0.4080 0.5000 0.6500
# V = 248.5 Å³/cell
# Raw total energy = -4.198 eV/atom
# Total moment = 0.00 μB/cell

---

# Ni2RuBr GGA-PBE optimized geometry
data_Ni2RuBr
_cell_length_a 6.1231
_cell_length_b 6.1231
_cell_length_c 6.1231
_cell_angle_alpha 90.00
_cell_angle_beta 90.00
_cell_angle_gamma 90.00
_symmetry_space_group_name_H-M 'F m -3 m'
_symmetry_Int_Tables_number 225
_symmetry_space_group_name_Hall '-F 4 2 3'
loop_
_atom_site_label
_atom_site_type_symbol
_atom_site_fract_x
_atom_site_fract_y
_atom_site_fract_z
Ni1 Ni 0.2500 0.2500 0.2500
Ru1 Ru 0.0000 0.0000 0.0000
Br1 Br 0.0000 0.0000 0.5000
# V = 229.6 Å³/cell
# E above lowest polymorph = 429 meV/atom
# Total moment = 10.66 μB/cell

---

> Which formula does entry 1 have?

BaCePt2